(1)
A plane-wave DFT calculation with GGA-PBE was carried out for a relaxed structure of Ca2MnPt2.

The structure belongs to space group I4/mmm (No. 139); the cell edges are 3.714, 3.714 and 16.868 Å and the angles 90.00°, 90.00° and 90.00°. The asymmetric unit holds Ca at (0.000, 0.000, 0.111), Mn at (0.000, 0.000, 0.500) and Pt at (0.000, 0.500, 0.250).

For the formation energy, the calculation gives 277 meV per atom. The density is 7.496 g/cm³. The total moment is 0.02 μB/atom.



(2)
A plane-wave DFT calculation with GGA-PBE was carried out for a relaxed structure of CaMn2PtRh.

The structure belongs to space group P4/mmm (No. 123); the cell edges are 4.746, 4.746 and 5.143 Å and the angles 90.00°, 90.00° and 90.00°. The asymmetric unit holds Ca at (0.000, 0.000, 0.000), Mn at (0.000, 0.500, 0.500), Pt at (0.500, 0.500, 0.000) and Rh at (0.000, 0.000, 0.500).

For the formation energy, the calculation gives 584 meV per atom. The density is 6.420 g/cm³. The total moment is 1.85 μB/atom.



(3)
A plane-wave DFT calculation with GGA-PBE was carried out for a relaxed structure of Ca2MnRuPt.

The structure belongs to space group P4/mmm (No. 123); the cell edges are 5.324, 5.324 and 4.230 Å and the angles 90.00°, 90.00° and 90.00°. The asymmetric unit holds Ca at (0.000, 0.500, 0.000), Mn at (0.000, 0.000, 0.000), Ru at (0.000, 0.000, 0.500) and Pt at (0.500, 0.500, 0.500).

For the formation energy, the calculation gives 587 meV per atom. The density is 5.973 g/cm³. The total moment is 0.53 μB/atom.



(4)
A plane-wave DFT calculation with GGA-PBE was carried out for a relaxed structure of Ca2MnSi3Pt4.

The structure belongs to space group P-4m2 (No. 115); the cell edges are 4.155, 4.155 and 10.388 Å and the angles 90.00°, 90.00° and 90.00°. The asymmetric unit holds Ca at (0.000, 0.500, 0.250), Mn at (0.000, 0.000, 0.500), Si at (0.000, 0.500, 0.870), Si at (0.500, 0.500, 0.500), Pt at (0.000, 0.000, 0.000), Pt at (0.000, 0.500, 0.642) and Pt at (0.500, 0.500, 0.000).

The density is 9.255 g/cm³. The total moment is 0.38 μB/atom. For the formation energy without anion corrections, the calculation gives -0.859 eV/atom.



(5)
A plane-wave DFT calculation with GGA-PBE was carried out for a relaxed structure of CaTi2MnPt.

The structure belongs to space group P4/mmm (No. 123); the cell edges are 4.879, 4.879 and 5.396 Å and the angles 90.00°, 90.00° and 90.00°. The asymmetric unit holds Ca at (0.000, 0.000, 0.000), Ti at (0.000, 0.500, 0.500), Mn at (0.500, 0.500, 0.000) and Pt at (0.000, 0.000, 0.500).

For the formation energy, the calculation gives 446 meV per atom. The density is 4.989 g/cm³. The total moment is 0.31 μB/atom.



(6)
A plane-wave DFT calculation with GGA-PBE was carried out for a relaxed structure of CaMn2TlPt.

The structure belongs to space group P4/mmm (No. 123); the cell edges are 5.011, 5.011 and 5.216 Å and the angles 90.00°, 90.00° and 90.00°. The asymmetric unit holds Ca at (0.000, 0.000, 0.000), Mn at (0.000, 0.500, 0.500), Tl at (0.500, 0.500, 0.000) and Pt at (0.500, 0.500, 0.500).

For the formation energy, the calculation gives 280 meV per atom. The density is 6.966 g/cm³. The total moment is 1.80 μB/atom.



(7)
A plane-wave DFT calculation with GGA-PBE was carried out for a relaxed structure of CaZr2MnPt.

The structure belongs to space group P4/mmm (No. 123); the cell edges are 4.734, 4.734 and 4.981 Å and the angles 90.00°, 90.00° and 90.00°. The asymmetric unit holds Ca at (0.000, 0.000, 0.000), Zr at (0.000, 0.500, 0.500), Mn at (0.500, 0.500, 0.500) and Pt at (0.500, 0.500, 0.000).

For the formation energy, the calculation gives 84 meV per atom. The density is 7.030 g/cm³. The total moment is 0.00 μB/atom.



(8)
A plane-wave DFT calculation with GGA-PBE was carried out for a relaxed structure of Ca3Pu3MnSe8.

The structure belongs to space group R-3m (No. 166, hexagonal axes); the cell edges are 8.2918, 8.2918 and 20.4841 Å and the angles 90.00°, 90.00° and 120.00°. The asymmetric unit holds Ca at (0.0000, 0.5000, 0.0000), Pu at (0.0000, 0.5000, 0.5000), Mn at (0.0000, 0.0000, 0.5000), Se at (0.0000, 0.0000, 0.2494) and Se at (0.0160, 0.5080, 0.2441).

The density is 6.286 g/cm³. The total moment is 1.40 μB/atom. For the formation energy without anion corrections, the calculation gives -1.508 eV/atom.



(9)
A plane-wave DFT calculation with GGA-PBE was carried out for a relaxed structure of Ca2PuMnSe4.

The structure belongs to space group P2/m (No. 10); the cell edges are 7.072, 4.122 and 7.205 Å and the angles 90.00°, 109.80° and 90.00°. The asymmetric unit holds Ca at (0.000, 0.000, 0.000), Ca at (0.500, 0.500, 0.000), Pu at (0.000, 0.500, 0.500), Mn at (0.500, 0.000, 0.500), Se at (0.255, 0.000, 0.745) and Se at (0.267, 0.500, 0.266).

The density is 5.839 g/cm³. The total moment is 0.13 μB/atom. For the formation energy without anion corrections, the calculation gives -1.430 eV/atom.



(10)
A plane-wave DFT calculation with GGA-PBE was carried out for a relaxed structure of RbCaMn2.

The structure belongs to space group Fm-3m (No. 225); the cell edges are 7.949, 7.949 and 7.949 Å and the angles 90.00°, 90.00° and 90.00°. The asymmetric unit holds Rb at (0.000, 0.000, 0.000), Ca at (0.000, 0.000, 0.500) and Mn at (0.250, 0.250, 0.250).

For the formation energy, the calculation gives 1041 meV per atom. The calculation puts the excess energy over the best structure of this formula in the dataset at 0.000 eV/atom. The density is 3.113 g/cm³. The total moment is 2.02 μB/atom.



(11)
A plane-wave DFT calculation with GGA-PBE was carried out for a relaxed structure of Rb3CaMn.

The structure belongs to space group Pm-3m (No. 221); the cell edges are 7.055, 7.055 and 7.055 Å and the angles 90.00°, 90.00° and 90.00°. The asymmetric unit holds Rb at (0.000, 0.000, 0.500), Ca at (0.500, 0.500, 0.500) and Mn at (0.000, 0.000, 0.000).

For the formation energy, the calculation gives 775 meV per atom. The calculation puts the excess energy over the best structure of this formula in the dataset at 0.000 eV/atom. The density is 1.662 g/cm³. The total moment is 0.95 μB/atom.



(12)
A plane-wave DFT calculation with GGA-PBE was carried out for a relaxed structure of RbCaMn2.

The structure belongs to space group I-42d (No. 122); the cell edges are 8.808, 8.808 and 6.314 Å and the angles 90.00°, 90.00° and 90.00°. The asymmetric unit holds Rb at (0.000, 0.000, 0.000), Ca at (0.000, 0.000, 0.500) and Mn at (0.238, 0.250, 0.625).

For the formation energy, the calculation gives 1171 meV per atom. The calculation puts the excess energy over the best structure of this formula in the dataset at 0.130 eV/atom. The density is 3.192 g/cm³. The total moment is 1.99 μB/atom.



What is the density in the twelfth record? 3.192 g/cm³